# GGA-PBE LiPuPaO6, relaxed
# Uncorrected energy (eV/f.u.): -80.88
# Size of the total moment (μB/f.u.): 2.0
# ρ (Mg/m³): 7.5
data_LiPuPaO6
_cell_length_a 5.095
_cell_length_b 5.095
_cell_length_c 9.921
_cell_angle_alpha 90.00
_cell_angle_beta 90.00
_cell_angle_gamma 90.00
_space_group_name_H-M_alt 'P 42 n m'
_space_group_IT_number 102
loop_
_space_group_symop_operation_xyz
'x,y,z'
'-y+1/2,x+1/2,z+1/2'
'-x,-y,z'
'y+1/2,-x+1/2,z+1/2'
'-x+1/2,y+1/2,z+1/2'
'y,x,z'
'x+1/2,-y+1/2,z+1/2'
'-y,-x,z'
loop_
_atom_site_label
_atom_site_fract_x
_atom_site_fract_y
_atom_site_fract_z
Li1 0.000 0.000 0.000
Pu1 0.000 0.000 0.672
Pa1 0.000 0.000 0.327
O1 0.177 0.177 0.511
O2 0.189 0.189 0.825
O3 0.201 0.201 0.173

# GGA-PBE Li2PuPaO8, relaxed
# Uncorrected energy (eV/f.u.): -94.78
# Size of the total moment (μB/f.u.): 0.0
# ρ (Mg/m³): 6.7
data_Li2PuPaO8
_cell_length_a 6.541
_cell_length_b 6.684
_cell_length_c 7.017
_cell_angle_alpha 90.00
_cell_angle_beta 90.00
_cell_angle_gamma 90.00
_space_group_name_H-M_alt 'C m m m'
_space_group_IT_number 65
_space_group_name_Hall '-C 2 2'
loop_
_atom_site_label
_atom_site_fract_x
_atom_site_fract_y
_atom_site_fract_z
Li1 0.000 0.000 0.244
Pu1 0.000 0.500 0.500
Pa1 0.000 0.500 0.000
O1 0.000 0.312 0.269
O2 0.199 0.000 0.000
O3 0.218 0.000 0.500

# GGA-PBE LiPu2PaO8, relaxed
# Uncorrected energy (eV/f.u.): -114.43
# Size of the total moment (μB/f.u.): 6.0
# ρ (Mg/m³): 8.1
data_LiPu2PaO8
_cell_length_a 7.047
_cell_length_b 7.282
_cell_length_c 6.835
_cell_angle_alpha 90.00
_cell_angle_beta 90.00
_cell_angle_gamma 90.00
_space_group_name_H-M_alt 'C m m m'
_space_group_IT_number 65
_space_group_name_Hall '-C 2 2'
loop_
_atom_site_label
_atom_site_fract_x
_atom_site_fract_y
_atom_site_fract_z
Li1 0.000 0.000 0.000
Pu1 0.000 0.500 0.244
Pa1 0.000 0.000 0.500
O1 0.000 0.314 0.500
O2 0.000 0.324 0.000
O3 0.198 0.000 0.262

# GGA-PBE Rb2Li2PaO6, relaxed
# Uncorrected energy (eV/f.u.): -65.72
# Size of the total moment (μB/f.u.): 2.8
# ρ (Mg/m³): 4.8
data_Rb2Li2PaO6
_cell_length_a 5.6234
_cell_length_b 5.6234
_cell_length_c 6.4523
_cell_angle_alpha 90.00
_cell_angle_beta 90.00
_cell_angle_gamma 120.00
_space_group_name_H-M_alt 'P -3 1 m'
_space_group_IT_number 162
_space_group_name_Hall '-P 3 2'
loop_
_atom_site_label
_atom_site_fract_x
_atom_site_fract_y
_atom_site_fract_z
Rb1 0.3333 0.6667 0.0000
Li1 0.3333 0.6667 0.5000
Pa1 0.0000 0.0000 0.5000
O1 0.0000 0.3118 0.6730